# LiPuCu | the Alexandria database | PBE-GGA | optimized geometry
data_LiPuCu
_chemical_formula_sum 'Li2 Pu2 Cu2'
_cell_length_a 2.468
_cell_length_b 2.468
_cell_length_c 14.615
_cell_angle_alpha 90.00
_cell_angle_beta 90.00
_cell_angle_gamma 90.00
_symmetry_space_group_name_H-M 'I 4 m m'
_symmetry_Int_Tables_number 107
_symmetry_space_group_name_Hall 'I 4 -2'
loop_
_atom_site_label
_atom_site_type_symbol
_atom_site_fract_x
_atom_site_fract_y
_atom_site_fract_z
Li1 Li 0.000 0.000 0.000
Pu1 Pu 0.000 0.000 0.692
Cu1 Cu 0.000 0.000 0.365
# M_tot: 0.11 μB/f.u.
# Relative energy among the computed polymorphs: 0.014 eV per atom
# D(E_F): 9.390 states/eV/cell